1.
TbY3Ho6 | Alexandria via LeMat-Bulk | GGA-PBE | relaxed; symmetry = Cmc2_1; total magnetic moment = 0.00 μB/f.u.; relative energy among the computed polymorphs = 0 meV/atom; ρ = 7.35 g/cm3; crystal system = orthorhombic; ΔH_f (0 K) = 0.13 eV per atom
1.0
4.6900 -7.6820 0.0000
4.6900 7.6820 0.0000
0.0000 0.0000 8.8802
Tb Y Ho
2 6 12
Direct
0.2212 0.7788 0.5000 Tb
0.7788 0.2212 0.0000 Tb
0.0277 0.3222 0.3942 Y
0.3222 0.0277 0.8942 Y
0.4504 0.5496 0.3824 Y
0.5496 0.4504 0.8824 Y
0.6778 0.9723 0.3942 Y
0.9723 0.6778 0.8942 Y
0.0536 0.9464 0.2547 Ho
0.1767 0.4708 0.7422 Ho
0.1871 0.3036 0.0678 Ho
0.2828 0.7172 0.1317 Ho
0.3036 0.1871 0.5678 Ho
0.4708 0.1767 0.2422 Ho
0.5292 0.8233 0.7422 Ho
0.6964 0.8129 0.0678 Ho
0.7172 0.2828 0.6317 Ho
0.8129 0.6964 0.5678 Ho
0.8233 0.5292 0.2422 Ho
0.9464 0.0536 0.7547 Ho



2.
SrRhCl2 | Alexandria via LeMat-Bulk | GGA-PBE | relaxed; symmetry = P4/mmm; uncorrected formation energy = -0.797 eV/atom; total magnetic moment = 1.10 μB/f.u.; relative energy among the computed polymorphs = 223 meV/atom; ρ = 5.12 g/cm3; crystal system = tetragonal
1.0
4.7400 0.0000 0.0000
0.0000 4.7400 0.0000
0.0000 0.0000 3.7766
Sr Rh Cl
1 1 2
Direct
0.0000 0.0000 0.0000 Sr
0.5000 0.5000 0.0000 Rh
0.0000 0.5000 0.5000 Cl
0.5000 0.0000 0.5000 Cl



3.
TbY2HoN4 | Alexandria via LeMat-Bulk | GGA-PBE | relaxed; symmetry = P2/m; uncorrected formation energy = -1.698 eV/atom; total magnetic moment = 0.00 μB/f.u.; ρ = 7.79 g/cm3; crystal system = monoclinic
1.0
6.0206 0.0000 0.0000
0.0000 3.4771 0.0000
-2.0048 0.0000 5.6770
Tb Y Ho N
1 2 1 4
Direct
0.0000 0.0000 0.0000 Tb
0.0000 0.5000 0.5000 Y
0.5000 0.0000 0.5000 Y
0.5000 0.5000 0.0000 Ho
0.2511 0.5000 0.2496 N
0.2517 0.0000 0.7513 N
0.7483 0.0000 0.2487 N
0.7489 0.5000 0.7504 N



4.
Tb7Al5Au | Alexandria via LeMat-Bulk | GGA-PBE | relaxed; symmetry = Imm2; total magnetic moment = 0.00 μB/f.u.; ρ = 7.36 g/cm3; crystal system = orthorhombic; ΔH_f (0 K) = -0.26 eV per atom
1.0
-3.1693 4.8399 5.3127
3.1693 -4.8399 5.3127
3.1693 4.8399 -5.3127
Tb Al Au
7 5 1
Direct
0.0000 0.0000 0.0000 Tb
0.2858 0.5871 0.6987 Tb
0.3695 0.3695 0.0000 Tb
0.4150 0.0842 0.3308 Tb
0.7534 0.0842 0.6692 Tb
0.8324 0.3324 0.5000 Tb
0.8885 0.5871 0.3013 Tb
0.0846 0.0558 0.4600 Al
0.0846 0.6245 0.0288 Al
0.3274 0.8274 0.5000 Al
0.5957 0.0558 0.9712 Al
0.5957 0.6245 0.5400 Al
0.6935 0.6935 0.0000 Au



5.
CaZnCd2 | Alexandria via LeMat-Bulk | GGA-PBE | relaxed; symmetry = P2/m; total magnetic moment = 0.00 μB/f.u.; ρ = 5.75 g/cm3; crystal system = monoclinic; ΔH_f (0 K) = -0.16 eV per atom
1.0
3.4538 0.0000 0.0000
0.0000 4.7632 0.0000
-1.1628 0.0000 5.7936
Ca Zn Cd
1 1 2
Direct
0.0000 0.0000 0.0000 Ca
0.5000 0.0000 0.5000 Zn
0.3936 0.5000 0.7322 Cd
0.6064 0.5000 0.2678 Cd



6.
K4AgBr6 | Alexandria via LeMat-Bulk | GGA-PBE | relaxed; symmetry = P4/mnc; uncorrected formation energy = -1.311 eV/atom; total magnetic moment = 0.00 μB/f.u.; ρ = 3.37 g/cm3; crystal system = tetragonal
1.0
9.1118 0.0000 0.0000
0.0000 9.1118 0.0000
0.0000 0.0000 8.8398
K Ag Br
8 2 12
Direct
0.1664 0.3336 0.2500 K
0.1664 0.3336 0.7500 K
0.3336 0.8336 0.2500 K
0.3336 0.8336 0.7500 K
0.6664 0.1664 0.2500 K
0.6664 0.1664 0.7500 K
0.8336 0.6664 0.2500 K
0.8336 0.6664 0.7500 K
0.0000 0.0000 0.0000 Ag
0.5000 0.5000 0.5000 Ag
0.0000 0.0000 0.2971 Br
0.0000 0.0000 0.7029 Br
0.1034 0.6905 0.0000 Br
0.1905 0.6034 0.5000 Br
0.3095 0.1034 0.0000 Br
0.3966 0.1905 0.5000 Br
0.5000 0.5000 0.2029 Br
0.5000 0.5000 0.7971 Br
0.6034 0.8095 0.5000 Br
0.6905 0.8966 0.0000 Br
0.8095 0.3966 0.5000 Br
0.8966 0.3095 0.0000 Br